Record 1
# Sr2InP2N6 | Alexandria via LeMat-Bulk | GGA-PBE | relaxed
data_Sr2InP2N6
_space_group_name_H-M_alt 'R -3 m'
_space_group_IT_number 166
_space_group_name_Hall '-R 3 2"'
_cell_length_a 5.6551
_cell_length_b 5.6551
_cell_length_c 17.6900
_cell_angle_alpha 90.00
_cell_angle_beta 90.00
_cell_angle_gamma 120.00
loop_
_atom_site_label
_atom_site_fract_x
_atom_site_fract_y
_atom_site_fract_z
Sr1 0.0000 0.0000 0.2078
In1 0.0000 0.0000 0.0000
P1 0.0000 0.0000 0.4140
N1 0.0117 0.5058 0.2489
# Raw formation energy = -0.422 eV/atom
# Electronic total energy = -214.56 eV/cell

***

Record 2
# InTePN2 | Alexandria via LeMat-Bulk | GGA-PBE | relaxed
data_InTePN2
_space_group_name_H-M_alt 'P 4/m m m'
_space_group_IT_number 123
_space_group_name_Hall '-P 4 2'
_cell_length_a 3.869
_cell_length_b 3.869
_cell_length_c 5.503
_cell_angle_alpha 90.00
_cell_angle_beta 90.00
_cell_angle_gamma 90.00
loop_
_atom_site_label
_atom_site_fract_x
_atom_site_fract_y
_atom_site_fract_z
In1 0.000 0.000 0.000
Te1 0.500 0.500 0.000
P1 0.500 0.500 0.500
N1 0.000 0.500 0.500
# Energy above the lowest structure with this stoichiometry = 0 meV per atom
# Raw formation energy = 1.171 eV/atom
# Electronic total energy = -22.09 eV/cell

***

Record 3
# InTePN2 | Alexandria via LeMat-Bulk | GGA-PBE | relaxed
data_InTePN2
_space_group_name_H-M_alt 'P 4/m m m'
_space_group_IT_number 123
_space_group_name_Hall '-P 4 2'
_cell_length_a 4.252
_cell_length_b 4.252
_cell_length_c 6.799
_cell_angle_alpha 90.00
_cell_angle_beta 90.00
_cell_angle_gamma 90.00
loop_
_atom_site_label
_atom_site_fract_x
_atom_site_fract_y
_atom_site_fract_z
In1 0.000 0.000 0.000
Te1 0.000 0.000 0.500
P1 0.500 0.500 0.500
N1 0.000 0.500 0.000
# Energy above the lowest structure with this stoichiometry = 503 meV per atom
# Raw formation energy = 1.674 eV/atom
# Electronic total energy = -19.57 eV/cell

***

Record 4
# Pa3InN | Alexandria via LeMat-Bulk | GGA-PBE | relaxed
data_Pa3InN
_space_group_name_H-M_alt 'P m -3 m'
_space_group_IT_number 221
_space_group_name_Hall '-P 4 2 3'
_cell_length_a 4.775
_cell_length_b 4.775
_cell_length_c 4.775
_cell_angle_alpha 90.00
_cell_angle_beta 90.00
_cell_angle_gamma 90.00
loop_
_atom_site_label
_atom_site_fract_x
_atom_site_fract_y
_atom_site_fract_z
Pa1 0.000 0.000 0.500
In1 0.500 0.500 0.500
N1 0.000 0.000 0.000
# Raw formation energy = -0.612 eV/atom
# Electronic total energy = -42.61 eV/cell

***

Record 5
# Pa2InN | Alexandria via LeMat-Bulk | GGA-PBE | relaxed
data_Pa2InN
_space_group_name_H-M_alt 'P 4/m m m'
_space_group_IT_number 123
_space_group_name_Hall '-P 4 2'
_cell_length_a 3.083
_cell_length_b 3.083
_cell_length_c 8.094
_cell_angle_alpha 90.00
_cell_angle_beta 90.00
_cell_angle_gamma 90.00
loop_
_atom_site_label
_atom_site_fract_x
_atom_site_fract_y
_atom_site_fract_z
Pa1 0.000 0.000 0.184
In1 0.500 0.500 0.500
N1 0.500 0.500 0.000
# Energy above the lowest structure with this stoichiometry = 477 meV per atom
# Raw formation energy = -0.294 eV/atom
# Electronic total energy = -31.23 eV/cell

***

Record 6
# PaInN | Alexandria via LeMat-Bulk | GGA-PBE | relaxed
data_PaInN
_space_group_name_H-M_alt 'C m c m'
_space_group_IT_number 63
_space_group_name_Hall '-C 2c 2'
_cell_length_a 3.416
_cell_length_b 23.148
_cell_length_c 3.204
_cell_angle_alpha 90.00
_cell_angle_beta 90.00
_cell_angle_gamma 90.00
loop_
_atom_site_label
_atom_site_fract_x
_atom_site_fract_y
_atom_site_fract_z
Pa1 0.000 0.070 0.250
In1 0.000 0.201 0.750
N1 0.000 0.438 0.250
# Energy above the lowest structure with this stoichiometry = 282 meV per atom
# Raw formation energy = -0.632 eV/atom
# Electronic total energy = -89.82 eV/cell

***

Record 7
# Pa6In2N | Alexandria via LeMat-Bulk | GGA-PBE | relaxed
data_Pa6In2N
_space_group_name_H-M_alt 'I 4/m m m'
_space_group_IT_number 139
_space_group_name_Hall '-I 4 2'
_cell_length_a 6.422
_cell_length_b 6.422
_cell_length_c 9.951
_cell_angle_alpha 90.00
_cell_angle_beta 90.00
_cell_angle_gamma 90.00
loop_
_atom_site_label
_atom_site_fract_x
_atom_site_fract_y
_atom_site_fract_z
Pa1 0.000 0.000 0.236
Pa2 0.232 0.232 0.500
In1 0.000 0.500 0.250
N1 0.000 0.000 0.000
# Raw formation energy = -0.280 eV/atom
# Electronic total energy = -146.59 eV/cell

***

Record 8
# PaInN | Alexandria via LeMat-Bulk | GGA-PBE | relaxed
data_PaInN
_space_group_name_H-M_alt 'P 4/n m m'
_space_group_IT_number 129
_cell_length_a 4.152
_cell_length_b 4.152
_cell_length_c 7.561
_cell_angle_alpha 90.00
_cell_angle_beta 90.00
_cell_angle_gamma 90.00
loop_
_space_group_symop_operation_xyz
'x,y,z'
'-x,-y,-z'
'-y+1/2,x,z'
'y+1/2,-x,-z'
'-x+1/2,-y+1/2,z'
'x+1/2,y+1/2,-z'
'y,-x+1/2,z'
'-y,x+1/2,-z'
'x+1/2,-y,-z'
'-x+1/2,y,z'
'-y,-x,-z'
'y,x,z'
'-x,y+1/2,-z'
'x,-y+1/2,z'
'y+1/2,x+1/2,-z'
'-y+1/2,-x+1/2,z'
loop_
_atom_site_label
_atom_site_fract_x
_atom_site_fract_y
_atom_site_fract_z
Pa1 0.250 0.250 0.136
In1 0.250 0.750 0.500
N1 0.250 0.750 0.000
# Energy above the lowest structure with this stoichiometry = 0 meV per atom
# Raw formation energy = -0.914 eV/atom
# Electronic total energy = -46.60 eV/cell

***

Record 9
# Pa2InN | Alexandria via LeMat-Bulk | GGA-PBE | relaxed
data_Pa2InN
_space_group_name_H-M_alt 'R -3 m'
_space_group_IT_number 166
_space_group_name_Hall '-R 3 2"'
_cell_length_a 3.2973
_cell_length_b 3.2973
_cell_length_c 26.0438
_cell_angle_alpha 90.00
_cell_angle_beta 90.00
_cell_angle_gamma 120.00
loop_
_atom_site_label
_atom_site_fract_x
_atom_site_fract_y
_atom_site_fract_z
Pa1 0.0000 0.0000 0.2251
In1 0.0000 0.0000 0.0000
N1 0.0000 0.0000 0.5000
# Energy above the lowest structure with this stoichiometry = 0 meV per atom
# Raw formation energy = -0.772 eV/atom
# Electronic total energy = -99.43 eV/cell

***

Record 10
# PaInPbN | Alexandria via LeMat-Bulk | GGA-PBE | relaxed
data_PaInPbN
_space_group_name_H-M_alt 'P 4/n m m'
_space_group_IT_number 129
_cell_length_a 4.224
_cell_length_b 4.224
_cell_length_c 10.750
_cell_angle_alpha 90.00
_cell_angle_beta 90.00
_cell_angle_gamma 90.00
loop_
_space_group_symop_operation_xyz
'x,y,z'
'-x,-y,-z'
'-y+1/2,x,z'
'y+1/2,-x,-z'
'-x+1/2,-y+1/2,z'
'x+1/2,y+1/2,-z'
'y,-x+1/2,z'
'-y,x+1/2,-z'
'x+1/2,-y,-z'
'-x+1/2,y,z'
'-y,-x,-z'
'y,x,z'
'-x,y+1/2,-z'
'x,-y+1/2,z'
'y+1/2,x+1/2,-z'
'-y+1/2,-x+1/2,z'
loop_
_atom_site_label
_atom_site_fract_x
_atom_site_fract_y
_atom_site_fract_z
Pa1 0.250 0.250 0.093
In1 0.250 0.250 0.741
Pb1 0.250 0.750 0.500
N1 0.250 0.750 0.000
# Raw formation energy = -0.578 eV/atom
# Electronic total energy = -53.16 eV/cell

***

Record 11
# RbPaInN3 | Alexandria via LeMat-Bulk | GGA-PBE | relaxed
data_RbPaInN3
_space_group_name_H-M_alt 'P 1 21/m 1'
_space_group_IT_number 11
_cell_length_a 7.260
_cell_length_b 3.669
_cell_length_c 9.871
_cell_angle_alpha 90.00
_cell_angle_beta 109.06
_cell_angle_gamma 90.00
loop_
_space_group_symop_operation_xyz
'x,y,z'
'-x,-y,-z'
'-x,y+1/2,-z'
'x,-y+1/2,z'
loop_
_atom_site_label
_atom_site_fract_x
_atom_site_fract_y
_atom_site_fract_z
Rb1 0.145 0.250 0.193
Pa1 0.376 0.250 0.843
In1 0.172 0.750 0.563
N1 0.054 0.250 0.648
N2 0.338 0.750 0.974
N3 0.444 0.750 0.728
# Raw formation energy = -0.606 eV/atom
# Electronic total energy = -83.63 eV/cell

***

Record 12
# Pa2InRhN5 | Alexandria via LeMat-Bulk | GGA-PBE | relaxed
data_Pa2InRhN5
_space_group_name_H-M_alt 'C m c 21'
_space_group_IT_number 36
_cell_length_a 3.421
_cell_length_b 13.386
_cell_length_c 10.153
_cell_angle_alpha 90.00
_cell_angle_beta 90.00
_cell_angle_gamma 90.00
loop_
_space_group_symop_operation_xyz
'x,y,z'
'-x,-y,z+1/2'
'-x,y,z'
'x,-y,z+1/2'
'x+1/2,y+1/2,z'
'-x+1/2,-y+1/2,z+1/2'
'-x+1/2,y+1/2,z'
'x+1/2,-y+1/2,z+1/2'
loop_
_atom_site_label
_atom_site_fract_x
_atom_site_fract_y
_atom_site_fract_z
Pa1 0.000 0.098 0.000
Pa2 0.000 0.145 0.605
In1 0.000 0.206 0.311
Rh1 0.000 0.480 0.771
N1 0.000 0.054 0.396
N2 0.000 0.277 0.998
N3 0.000 0.332 0.672
N4 0.000 0.369 0.338
N5 0.000 0.476 0.085
# Raw formation energy = -0.637 eV/atom
# Electronic total energy = -305.76 eV/cell

***

Record 13
# PaInSb2N | Alexandria via LeMat-Bulk | GGA-PBE | relaxed
data_PaInSb2N
_space_group_name_H-M_alt 'P 4/n m m'
_space_group_IT_number 129
_cell_length_a 3.929
_cell_length_b 3.929
_cell_length_c 16.778
_cell_angle_alpha 90.00
_cell_angle_beta 90.00
_cell_angle_gamma 90.00
loop_
_space_group_symop_operation_xyz
'x,y,z'
'-x,-y,-z'
'-y+1/2,x,z'
'y+1/2,-x,-z'
'-x+1/2,-y+1/2,z'
'x+1/2,y+1/2,-z'
'y,-x+1/2,z'
'-y,x+1/2,-z'
'x+1/2,-y,-z'
'-x+1/2,y,z'
'-y,-x,-z'
'y,x,z'
'-x,y+1/2,-z'
'x,-y+1/2,z'
'y+1/2,x+1/2,-z'
'-y+1/2,-x+1/2,z'
loop_
_atom_site_label
_atom_site_fract_x
_atom_site_fract_y
_atom_site_fract_z
Pa1 0.250 0.250 0.070
In1 0.250 0.250 0.654
Sb1 0.250 0.250 0.445
Sb2 0.250 0.250 0.826
N1 0.250 0.750 0.000
# Raw formation energy = -0.673 eV/atom
# Electronic total energy = -64.33 eV/cell

***

Record 14
# PaInSnN | Alexandria via LeMat-Bulk | GGA-PBE | relaxed
data_PaInSnN
_space_group_name_H-M_alt 'P 4/n m m'
_space_group_IT_number 129
_cell_length_a 4.119
_cell_length_b 4.119
_cell_length_c 10.522
_cell_angle_alpha 90.00
_cell_angle_beta 90.00
_cell_angle_gamma 90.00
loop_
_space_group_symop_operation_xyz
'x,y,z'
'-x,-y,-z'
'-y+1/2,x,z'
'y+1/2,-x,-z'
'-x+1/2,-y+1/2,z'
'x+1/2,y+1/2,-z'
'y,-x+1/2,z'
'-y,x+1/2,-z'
'x+1/2,-y,-z'
'-x+1/2,y,z'
'-y,-x,-z'
'y,x,z'
'-x,y+1/2,-z'
'x,-y+1/2,z'
'y+1/2,x+1/2,-z'
'-y+1/2,-x+1/2,z'
loop_
_atom_site_label
_atom_site_fract_x
_atom_site_fract_y
_atom_site_fract_z
Pa1 0.250 0.250 0.103
In1 0.250 0.750 0.500
Sn1 0.250 0.250 0.732
N1 0.250 0.750 0.000
# Raw formation energy = -0.705 eV/atom
# Electronic total energy = -54.76 eV/cell

***

Record 15
# Pa2InSnN5 | Alexandria via LeMat-Bulk | GGA-PBE | relaxed
data_Pa2InSnN5
_space_group_name_H-M_alt 'C m c 21'
_space_group_IT_number 36
_cell_length_a 3.518
_cell_length_b 14.012
_cell_length_c 11.132
_cell_angle_alpha 90.00
_cell_angle_beta 90.00
_cell_angle_gamma 90.00
loop_
_space_group_symop_operation_xyz
'x,y,z'
'-x,-y,z+1/2'
'-x,y,z'
'x,-y,z+1/2'
'x+1/2,y+1/2,z'
'-x+1/2,-y+1/2,z+1/2'
'-x+1/2,y+1/2,z'
'x+1/2,-y+1/2,z+1/2'
loop_
_atom_site_label
_atom_site_fract_x
_atom_site_fract_y
_atom_site_fract_z
Pa1 0.000 0.103 0.000
Pa2 0.000 0.156 0.542
In1 0.000 0.249 0.271
Sn1 0.000 0.472 0.763
N1 0.000 0.080 0.352
N2 0.000 0.267 0.964
N3 0.000 0.359 0.618
N4 0.000 0.405 0.378
N5 0.000 0.442 0.096
# Raw formation energy = -0.683 eV/atom
# Electronic total energy = -294.04 eV/cell

***

Record 16
# Sr3Pa3InN8 | Alexandria via LeMat-Bulk | GGA-PBE | relaxed
data_Sr3Pa3InN8
_space_group_name_H-M_alt 'R -3 m'
_space_group_IT_number 166
_space_group_name_Hall '-R 3 2"'
_cell_length_a 7.0880
_cell_length_b 7.0880
_cell_length_c 17.9850
_cell_angle_alpha 90.00
_cell_angle_beta 90.00
_cell_angle_gamma 120.00
loop_
_atom_site_label
_atom_site_fract_x
_atom_site_fract_y
_atom_site_fract_z
Sr1 0.0000 0.5000 0.0000
Pa1 0.0000 0.5000 0.5000
In1 0.0000 0.0000 0.5000
N1 0.0000 0.0000 0.2353
N2 0.0121 0.5061 0.7699
# Raw formation energy = -1.064 eV/atom
# Electronic total energy = -356.52 eV/cell

***

Record 17
# Sr4Pa3InN8 | Alexandria via LeMat-Bulk | GGA-PBE | relaxed
data_Sr4Pa3InN8
_space_group_name_H-M_alt 'R -3 m'
_space_group_IT_number 166
_space_group_name_Hall '-R 3 2"'
_cell_length_a 7.1969
_cell_length_b 7.1969
_cell_length_c 17.9794
_cell_angle_alpha 90.00
_cell_angle_beta 90.00
_cell_angle_gamma 120.00
loop_
_atom_site_label
_atom_site_fract_x
_atom_site_fract_y
_atom_site_fract_z
Sr1 0.0000 0.0000 0.0000
Sr2 0.0000 0.5000 0.0000
Pa1 0.0000 0.5000 0.5000
In1 0.0000 0.0000 0.5000
N1 0.0000 0.0000 0.2322
N2 0.0238 0.5119 0.7660
# Raw formation energy = -1.096 eV/atom
# Electronic total energy = -366.27 eV/cell

***

Record 18
# SrPaInN3 | Alexandria via LeMat-Bulk | GGA-PBE | relaxed
data_SrPaInN3
_space_group_name_H-M_alt 'P 1 21/m 1'
_space_group_IT_number 11
_cell_length_a 6.720
_cell_length_b 3.569
_cell_length_c 10.819
_cell_angle_alpha 90.00
_cell_angle_beta 105.22
_cell_angle_gamma 90.00
loop_
_space_group_symop_operation_xyz
'x,y,z'
'-x,-y,-z'
'-x,y+1/2,-z'
'x,-y+1/2,z'
loop_
_atom_site_label
_atom_site_fract_x
_atom_site_fract_y
_atom_site_fract_z
Sr1 0.050 0.250 0.319
Pa1 0.451 0.250 0.634
In1 0.417 0.750 0.882
N1 0.232 0.250 0.767
N2 0.312 0.750 0.496
N3 0.389 0.250 0.258
# Raw formation energy = -0.898 eV/atom
# Electronic total energy = -88.56 eV/cell

***

Record 19
# PaInTeN | Alexandria via LeMat-Bulk | GGA-PBE | relaxed
data_PaInTeN
_space_group_name_H-M_alt 'P 4/n m m'
_space_group_IT_number 129
_cell_length_a 4.041
_cell_length_b 4.041
_cell_length_c 11.704
_cell_angle_alpha 90.00
_cell_angle_beta 90.00
_cell_angle_gamma 90.00
loop_
_space_group_symop_operation_xyz
'x,y,z'
'-x,-y,-z'
'-y+1/2,x,z'
'y+1/2,-x,-z'
'-x+1/2,-y+1/2,z'
'x+1/2,y+1/2,-z'
'y,-x+1/2,z'
'-y,x+1/2,-z'
'x+1/2,-y,-z'
'-x+1/2,y,z'
'-y,-x,-z'
'y,x,z'
'-x,y+1/2,-z'
'x,-y+1/2,z'
'y+1/2,x+1/2,-z'
'-y+1/2,-x+1/2,z'
loop_
_atom_site_label
_atom_site_fract_x
_atom_site_fract_y
_atom_site_fract_z
Pa1 0.250 0.250 0.096
In1 0.250 0.750 0.500
Te1 0.250 0.250 0.754
N1 0.250 0.750 0.000
# Raw formation energy = -1.069 eV/atom
# Electronic total energy = -55.95 eV/cell

***

Record 20
# Th2PaInN5 | Alexandria via LeMat-Bulk | GGA-PBE | relaxed
data_Th2PaInN5
_space_group_name_H-M_alt 'C m c 21'
_space_group_IT_number 36
_cell_length_a 3.561
_cell_length_b 14.174
_cell_length_c 11.461
_cell_angle_alpha 90.00
_cell_angle_beta 90.00
_cell_angle_gamma 90.00
loop_
_space_group_symop_operation_xyz
'x,y,z'
'-x,-y,z+1/2'
'-x,y,z'
'x,-y,z+1/2'
'x+1/2,y+1/2,z'
'-x+1/2,-y+1/2,z+1/2'
'-x+1/2,y+1/2,z'
'x+1/2,-y+1/2,z+1/2'
loop_
_atom_site_label
_atom_site_fract_x
_atom_site_fract_y
_atom_site_fract_z
Th1 0.000 0.126 0.000
Th2 0.000 0.130 0.539
Pa1 0.000 0.228 0.283
In1 0.000 0.493 0.762
N1 0.000 0.073 0.331
N2 0.000 0.281 0.924
N3 0.000 0.282 0.642
N4 0.000 0.371 0.353
N5 0.000 0.490 0.071
# Raw formation energy = -1.143 eV/atom
# Electronic total energy = -315.95 eV/cell

***

Record 21
# Pa2ZnInN5 | Alexandria via LeMat-Bulk | GGA-PBE | relaxed
data_Pa2ZnInN5
_space_group_name_H-M_alt 'C m c 21'
_space_group_IT_number 36
_cell_length_a 3.477
_cell_length_b 13.570
_cell_length_c 10.496
_cell_angle_alpha 90.00
_cell_angle_beta 90.00
_cell_angle_gamma 90.00
loop_
_space_group_symop_operation_xyz
'x,y,z'
'-x,-y,z+1/2'
'-x,y,z'
'x,-y,z+1/2'
'x+1/2,y+1/2,z'
'-x+1/2,-y+1/2,z+1/2'
'-x+1/2,y+1/2,z'
'x+1/2,-y+1/2,z+1/2'
loop_
_atom_site_label
_atom_site_fract_x
_atom_site_fract_y
_atom_site_fract_z
Pa1 0.000 0.120 0.000
Pa2 0.000 0.134 0.441
Zn1 0.000 0.495 0.227
In1 0.000 0.209 0.726
N1 0.000 0.054 0.802
N2 0.000 0.297 0.080
N3 0.000 0.297 0.413
N4 0.000 0.360 0.804
N5 0.000 0.488 0.531
# Raw formation energy = -0.765 eV/atom
# Electronic total energy = -286.05 eV/cell